# 1
7
Lattice="-2.586 -2.312 4.003 2.401 -0.659 4.675 -3.296 7.603 5.765" Properties=species:S:1:pos:R:3 comment="La4TlAg2, optimized geometry, DFT PBE-GGA" sg="R-3m, No. 166" total_energy_ry_per_atom=-0.29777 e_form_ev_per_fu=-0.581 relative_energy_mev_per_atom=102 pbc="T T T"
La -2.212 2.415 10.478
La -1.269 2.218 3.965
La -2.913 5.430 8.263
Ag -1.171 -0.348 9.554
Tl 0.000 0.000 0.000
Ag -2.309 4.981 4.889
La -0.568 -0.798 6.180



# 2
11
Lattice="0.892 5.244 -1.104 -1.958 -1.085 -6.733 -8.703 -0.195 5.414" Properties=species:S:1:pos:R:3 comment="La8Tl2Ag, optimized geometry, DFT PBE-GGA" sg="C2/m, No. 12" total_energy_ry_per_atom=-0.32783 e_form_ev_per_fu=-2.061 relative_energy_mev_per_atom=0 pbc="T T T"
La -1.695 -0.783 -5.086
La -1.948 2.559 -2.785
La -5.712 1.646 3.204
La -5.756 3.277 -2.451
Tl -5.403 3.897 0.780
La -7.821 1.406 0.363
La -4.057 2.319 -5.627
Ag 0.446 2.622 -0.552
Tl -4.366 0.068 -3.203
La -8.074 4.747 2.663
La -4.013 0.688 0.028



# 3
3
Lattice="-0.416 1.765 -4.673 -4.317 2.030 -1.537 -0.304 4.939 -0.796" Properties=species:S:1:pos:R:3 comment="LaTlAg, optimized geometry, DFT PBE-GGA" sg="F-43m, No. 216" total_energy_ry_per_atom=-0.26679 e_form_ev_per_fu=-0.745 pbc="T T T"
Tl -2.519 4.367 -3.503
Ag -3.778 6.550 -5.254
La 0.000 0.000 0.000



# 4
11
Lattice="-3.891 -6.128 0.377 6.118 -3.775 1.809 -0.124 2.979 6.629" Properties=species:S:1:pos:R:3 comment="La7Tl2Ag2, optimized geometry, DFT PBE-GGA" sg="Cmmm, No. 65" total_energy_ry_per_atom=-0.30387 e_form_ev_per_fu=-0.551 pbc="T T T"
Ag -1.199 0.378 4.843
La -0.188 -4.149 0.709
La 2.292 -2.775 8.107
Ag 3.303 -7.302 3.972
La 0.000 0.000 0.000
Tl -0.286 -4.511 6.742
La 4.298 -1.201 4.605
La -2.195 -5.722 4.211
Tl 2.389 -2.413 2.073
La 2.444 -4.321 4.819
La -0.341 -2.602 3.996



# 5
16
Lattice="-0.995 1.941 -4.379 -1.326 -6.084 0.337 -15.179 3.588 5.039" Properties=species:S:1:pos:R:3 comment="La3Tl3Ag2, optimized geometry, DFT PBE-GGA" sg="Cmcm, No. 63" total_energy_ry_per_atom=-0.27781 e_form_ev_per_fu=-2.655 pbc="T T T"
Tl -12.376 2.276 1.087
Ag -10.754 0.159 -0.220
Ag -6.746 -0.714 1.216
Tl -5.124 -2.831 -0.091
La -4.841 0.328 -1.488
Tl -15.931 -0.492 3.401
Tl -9.638 -1.979 1.312
La -12.659 -0.882 2.484
La -9.533 1.211 2.702
Tl -7.862 1.425 -0.315
La -3.579 -2.803 -3.162
Ag -2.362 -1.750 -0.239
La -13.921 2.248 4.159
Tl -1.569 -0.063 -2.404
La -7.967 -1.765 -1.706
Ag -15.138 1.196 1.236



# 6
11
Lattice="6.777 -0.453 -0.376 -0.576 8.333 2.453 -0.576 3.936 7.744" Properties=species:S:1:pos:R:3 comment="La8Tl2Ag, optimized geometry, DFT PBE-GGA" sg="C2/m, No. 12" total_energy_ry_per_atom=-0.32244 e_form_ev_per_fu=-1.254 relative_energy_mev_per_atom=73 pbc="T T T"
Tl 2.088 2.966 2.465
La 5.431 1.926 1.601
La 0.193 9.890 8.221
Tl 3.537 8.850 7.356
La 1.821 8.052 4.485
La 1.821 5.881 7.096
Ag 0.000 0.000 0.000
La 3.803 5.935 2.725
La 0.141 4.923 4.092
La 3.803 3.764 5.336
La 5.484 6.893 5.729



Short version: DOS at the Fermi energy = 9.589, 12.726, 4.994, 14.367, 15.992, 13.301 states/eV/cell, in the order given.